Entry from OQMD via LeMat-Bulk: crystalline CsGdAs at its relaxed geometry (PBE).

Output
Its total energy is -41.4 eV/cell.

Lattice parameters (Å, degrees): 7.5650 7.5650 7.5650 90.00 90.00 90.00
With the nearest neighbours (Å) after each atom.
Space group F-43m (No. 216)
One atom of each set of equivalent atoms:
Cs 0.0000 0.0000 0.0000 (multiplicity 4)  4 As 3.28
Gd 0.0000 0.0000 0.5000 (multiplicity 4)  4 As 3.28
As 0.2500 0.2500 0.2500 (multiplicity 4)  4 Gd 3.28, 4 Cs 3.28

=====

Entry from OQMD via LeMat-Bulk: crystalline DyZrPb at its relaxed geometry (PBE).

Output
The distance to the lowest polymorph of the same formula comes out at 477 meV/atom.

Lattice parameters (Å, degrees): 7.0620 7.0620 7.0620 90.00 90.00 90.00
With the nearest neighbours (Å) after each atom.
Space group F-43m (No. 216)
One atom of each set of equivalent atoms:
Dy 0.0000 0.0000 0.0000 (multiplicity 4)  4 Pb 3.06
Zr 0.0000 0.0000 0.5000 (multiplicity 4)  4 Pb 3.06
Pb 0.2500 0.2500 0.2500 (multiplicity 4)  4 Zr 3.06, 4 Dy 3.06

=====

Entry from OQMD via LeMat-Bulk: crystalline SmNi2SnP at its relaxed geometry (PBE).

Output
Its total energy is -58.5 eV/cell.

Lattice parameters (Å, degrees): 4.1046 4.1046 10.0246 90.00 90.00 90.00
With the nearest neighbours (Å) after each atom.
Space group P4/nmm (No. 129, origin choice 2)
One atom of each set of equivalent atoms:
Sm 0.2500 0.2500 0.2199 (multiplicity 2)  8 Ni 3.01-3.13, 4 P 3.08
Ni 0.2500 0.2500 0.6621 (multiplicity 2)  1 P 2.21
Ni 0.2500 0.7500 0.0000 (multiplicity 2)  4 P 2.37
Sn 0.2500 0.7500 0.5000 (multiplicity 2)  4 Ni 2.62, 4 Sn 2.90
P 0.2500 0.2500 0.8821 (multiplicity 2)  5 Ni 2.21-2.37

=====

Entry from OQMD via LeMat-Bulk: crystalline YInCu2 at its relaxed geometry (PBE).

Output
Its total energy is -69.6 eV/cell.

Lattice parameters (Å, degrees): 7.7881 6.7563 5.8910 90.00 90.00 90.00
With the nearest neighbours (Å) after each atom.
Space group Pnma (No. 62)
One atom of each set of equivalent atoms:
Y 0.0389 0.2500 0.1642 (multiplicity 4)  8 Cu 3.00-3.33, 2 In 3.14-3.16
In 0.1039 0.7500 0.3376 (multiplicity 4)  6 Cu 2.57-2.68
Cu 0.1903 0.0568 0.5778 (multiplicity 8)  3 In 2.57-2.68, 1 Cu 2.61